Here is MnInGaAs2 after structural relaxation from Alexandria. Energies are from GGA-PBE.

Structure (extended XYZ):
```
5
Lattice="-1.8962 3.7515 -3.2048 -2.9875 -3.4289 -2.2462 -3.8279 1.0479 3.4914" Properties=species:S:1:pos:R:3 pbc="T T T"
As -1.9139 0.5239 1.7457
As -0.9481 1.8758 -1.6024
Mn -4.3557 0.6853 -0.9798
Ga -1.4937 -1.7144 -1.1231
In 0.0000 0.0000 0.0000
```

Results
- Raw total energy: -19.278 eV/cell
- Symmetry: P4/mmm
- Total magnetic moment: 4.79 Bohr magnetons per cell

=====

Here is Zn2PW after structural relaxation from Alexandria. Energies are from GGA-PBE.

Structure (extended XYZ):
```
4
Lattice="-1.7311 -0.4897 4.3940 2.2894 -1.1309 0.7759 2.7799 3.6934 1.5068" Properties=species:S:1:pos:R:3 pbc="T T T"
Zn 3.9285 1.8746 1.7566
Zn 1.1408 0.6879 0.5261
P 0.2791 -0.8103 2.5850
W 1.6691 1.0364 3.3384
```

Results
- Raw total energy: -19.878 eV/cell
- Symmetry: P2/m
- Total magnetic moment: 0.00 Bohr magnetons per cell

=====

Here is Hf7SnBi2 after structural relaxation from Alexandria. Energies are from GGA-PBE.

Structure (extended XYZ):
```
10
Lattice="4.7390 0.0000 0.0000 0.0000 8.5237 -0.4493 0.0000 -4.2464 7.4043" Properties=species:S:1:pos:R:3 pbc="T T T"
Hf 0.0000 6.0322 1.0830
Hf 0.0000 -1.7549 5.8721
Hf 2.3695 -0.5834 2.0411
Hf 2.3695 4.8607 4.9140
Hf 2.3695 2.0847 0.4002
Hf 2.3695 2.1925 6.5548
Hf 2.3695 2.1386 3.4775
Sn 0.0000 0.0000 0.0000
Bi 2.3695 4.6199 1.9515
Bi 2.3695 -0.3427 5.0035
```

Results
- Raw total energy: -75.316 eV/cell
- Symmetry: Cmmm
- Total magnetic moment: 0.10 Bohr magnetons per cell

=====

Here is Li3BrO after structural relaxation from Alexandria. Energies are from GGA-PBE.

Structure (extended XYZ):
```
5
Lattice="3.9815 0.0000 0.0000 0.0000 3.9815 0.0000 0.0000 0.0000 3.9815" Properties=species:S:1:pos:R:3 pbc="T T T"
O 0.0000 0.0000 0.0000
Br 1.9907 1.9907 1.9907
Li 0.0000 1.9907 0.0000
Li 0.0000 0.0000 1.9907
Li 1.9907 0.0000 0.0000
```

Results
- Raw total energy: -20.858 eV/cell
- Energy relative to the lowest polymorph listed for this composition: 0.000 eV per atom
- Symmetry: Pm-3m
- Total magnetic moment: 0.00 Bohr magnetons per cell

=====

Here is RbZnInS3 after structural relaxation from Alexandria. Energies are from GGA-PBE.

Structure (extended XYZ):
```
12
Lattice="3.8634 0.0000 0.0000 0.0000 9.0071 -0.3301 0.0000 -2.7322 9.3381" Properties=species:S:1:pos:R:3 pbc="T T T"
Rb 0.9658 1.2224 2.2069
Rb 2.8975 5.0525 6.8010
Zn 0.9658 -0.8599 5.6339
Zn 2.8975 7.1348 3.3740
In 0.9658 5.6010 0.9075
In 2.8975 0.6739 8.1004
S 2.8975 7.3957 1.0414
S 0.9658 -1.1208 7.9665
S 0.9658 5.9975 4.1367
S 2.8975 0.2774 4.8713
S 2.8975 3.8424 1.3184
S 0.9658 2.4325 7.6895
```

Results
- Raw total energy: -44.809 eV/cell
- Symmetry: P2_1/m
- Total magnetic moment: 0.00 Bohr magnetons per cell

=====

Here is Pr4SnTeS2 after structural relaxation from Alexandria. Energies are from GGA-PBE.

Structure (extended XYZ):
```
16
Lattice="-5.7845 -6.3640 1.1197 -0.8898 -0.6967 -8.5987 7.9126 -0.5495 3.6648" Properties=species:S:1:pos:R:3 pbc="T T T"
Pr -2.1469 -2.2836 -6.1233
Pr -0.6733 -5.1703 0.6797
Pr 1.9117 -2.4399 -4.4939
Pr 3.3852 -5.3268 2.3090
Pr -4.7858 -5.2702 -5.5891
Pr -1.2026 -5.5185 -3.9292
Pr 2.4410 -2.0917 0.1149
Pr 6.0243 -2.3400 1.7748
Sn -0.4449 -0.3484 -4.2993
Sn -2.2731 -6.9871 -1.3473
Te 0.6192 -3.8051 -1.9071
Te 2.1282 -6.9135 4.7844
S -2.8922 -3.1820 0.5598
S 1.0641 -3.4568 2.3922
S 3.9563 -0.2748 1.8324
S -3.3371 -3.5304 -3.7395
```

Results
- Raw total energy: -93.698 eV/cell
- Symmetry: Imma
- Total magnetic moment: 0.00 Bohr magnetons per cell

=====

Here is YBeCu2 after structural relaxation from Alexandria. Energies are from GGA-PBE.

Structure (extended XYZ):
```
4
Lattice="-3.1734 -2.3507 0.6760 -1.8725 -1.7855 -3.0593 1.1538 -5.1120 -0.3717" Properties=species:S:1:pos:R:3 pbc="T T T"
Y -2.9190 -6.9361 -2.0662
Be -0.9730 -2.3120 -0.6887
Cu -4.6223 -4.6906 -2.3196
Cu -2.3696 -4.0697 -1.4411
```

Results
- Raw total energy: -18.985 eV/cell
- Symmetry: C2/m
- Total magnetic moment: 0.00 Bohr magnetons per cell

=====

Here is CuHgTe2 after structural relaxation from Alexandria. Energies are from GGA-PBE.

Structure (extended XYZ):
```
4
Lattice="4.3983 -0.0034 -0.0201 0.0056 6.3229 0.0037 0.0212 -0.0043 4.4001" Properties=species:S:1:pos:R:3 pbc="T T T"
Te 1.5927 6.3139 4.3544
Te 3.7800 2.6765 2.1454
Hg 1.5830 4.4979 2.1513
Cu 3.7860 1.3328 4.3447
```

Results
- Raw total energy: -10.985 eV/cell
- Symmetry: C2
- Total magnetic moment: 0.00 Bohr magnetons per cell

=====

Here is ScOsS3 after structural relaxation from Alexandria. Energies are from GGA-PBE.

Structure (extended XYZ):
```
5
Lattice="4.8331 0.0000 0.0000 0.0000 4.8331 0.0000 0.0000 0.0000 4.8331" Properties=species:S:1:pos:R:3 pbc="T T T"
Sc 0.0000 0.0000 0.0000
S 0.0000 2.4166 0.0000
S 0.0000 0.0000 2.4166
S 2.4166 0.0000 0.0000
Os 2.4166 2.4166 2.4166
```

Results
- Raw total energy: -26.321 eV/cell
- Energy relative to the lowest polymorph listed for this composition: 0.730 eV per atom
- Symmetry: Pm-3m
- Total magnetic moment: 4.07 Bohr magnetons per cell

=====

Here is KTaAg2 after structural relaxation from Alexandria. Energies are from GGA-PBE.

Structure (extended XYZ):
```
4
Lattice="-0.5930 -3.8087 -1.3022 1.6386 -0.9884 2.1447 -4.8101 -1.5909 6.8437" Properties=species:S:1:pos:R:3 pbc="T T T"
Ag -4.3897 -1.5495 6.5312
Ag -2.0061 -1.3311 4.8067
K -1.0894 -2.5492 1.5960
Ta -2.6751 -3.8388 6.0902
```

Results
- Raw total energy: -16.733 eV/cell
- Energy relative to the lowest polymorph listed for this composition: 0.001 eV per atom
- Symmetry: P2/m
- Total magnetic moment: 0.00 Bohr magnetons per cell

=====

Here is Rb2CdAg2F6 after structural relaxation from Alexandria. Energies are from GGA-PBE.

Structure (extended XYZ):
```
11
Lattice="-1.0072 0.9631 6.6803 -6.3448 0.1433 2.5083 -2.2381 -5.4407 3.9325" Properties=species:S:1:pos:R:3 pbc="T T T"
Rb -7.2175 -2.5702 9.7390
Rb -2.3726 -1.7641 3.3821
Cd 0.0000 0.0000 0.0000
Ag -4.7434 -3.5784 6.7718
Ag -4.8467 -0.7559 6.3493
F -6.2320 -0.5127 8.0739
F -5.6632 -1.0566 4.3010
F -2.6486 -0.5936 6.6573
F -6.9415 -3.7406 6.4638
F -3.9269 -3.2776 8.8201
F -3.3581 -3.8216 5.0472
```

Results
- Raw total energy: -40.585 eV/cell
- Symmetry: R-3m
- Total magnetic moment: 0.00 Bohr magnetons per cell

=====

Here is AcTlPd2 after structural relaxation from Alexandria. Energies are from GGA-PBE.

Structure (extended XYZ):
```
4
Lattice="-2.2285 -2.5673 -1.4475 2.3963 -0.5219 -2.7636 3.2221 -4.8930 3.7179" Properties=species:S:1:pos:R:3 pbc="T T T"
Ac 1.6950 -3.9911 -0.2466
Tl 0.0839 -1.5446 -2.1055
Pd 2.5184 -3.8245 2.9060
Pd 0.7036 -1.0686 0.8119
```

Results
- Raw total energy: -18.585 eV/cell
- Symmetry: P4/mmm
- Total magnetic moment: 0.00 Bohr magnetons per cell